A geometry-optimized Ta2TeH structure, computed with PBEsol.

## Properties
Theoretical density   11.98 Mg/m³
E_tot   -7.6250 eV/atom
Volume   68 Å³/f.u.

a = 5.0774 Å, b = 5.0774 Å, c = 10.5520 Å
α = 90.00°, β = 90.00°, γ = 90.00°
Space group I-42d (No. 122)
Unique sites:
1 Ta 0.0723 0.2500 0.1250 x8
2 Te 0.0000 0.0000 0.5000 x4
3 H 0.0000 0.0000 0.0000 x4